Zr3WSe: relaxed, PBE. Values from VASP.

The value obtained for the energy above the lowest structure with this stoichiometry is 0.0 kJ/mol of atoms. Its total magnetization is 0.01 μB/cell.

Cell and atoms, written as Quantum ESPRESSO input:
```
&SYSTEM
  ibrav = 0, nat = 5, ntyp = 3
/
ATOMIC_SPECIES
Zr 91.22 Zr.upf
W 183.84 W.upf
Se 78.96 Se.upf
CELL_PARAMETERS angstrom
4.895 0.000 0.000
0.000 4.895 0.000
0.000 0.000 4.895
ATOMIC_POSITIONS crystal
Zr 0.000 0.000 0.500
Zr 0.000 0.500 0.000
Zr 0.500 0.000 0.000
W 0.500 0.500 0.500
Se 0.000 0.000 0.000
```